An optimized crystal structure of NdFe4C4. Source: Alexandria, functional PBE.

Values from the calculation:
crystal system: tetragonal
total magnetization: 5.21 μB per cell
Fermi-level density of states: 10.43 states/eV per cell
symmetry: No. 86
calculated total energy: -149.76 eV/cell

Geometry as CIF:
```
data_NdFe4C4
_chemical_formula_sum 'Nd2 Fe8 C8'
_cell_length_a 3.5852
_cell_length_b 7.0861
_cell_length_c 7.0861
_cell_angle_alpha 90.00
_cell_angle_beta 90.00
_cell_angle_gamma 90.00
_symmetry_space_group_name_H-M 'P 1'
_symmetry_Int_Tables_number 1
loop_
_symmetry_equiv_pos_as_xyz
'x,y,z'
loop_
_atom_site_label
_atom_site_type_symbol
_atom_site_fract_x
_atom_site_fract_y
_atom_site_fract_z
Fe1 Fe 0.1259 0.8449 0.4022
Fe2 Fe 0.6259 0.0978 0.3449
Fe3 Fe 0.1259 0.1551 0.5978
Fe4 Fe 0.8741 0.4022 0.1551
Fe5 Fe 0.8741 0.5978 0.8449
Fe6 Fe 0.6259 0.9022 0.6551
Fe7 Fe 0.3741 0.6551 0.0978
Fe8 Fe 0.3741 0.3449 0.9022
Nd1 Nd 0.0000 0.0000 0.0000
Nd2 Nd 0.5000 0.5000 0.5000
C1 C 0.1220 0.7857 0.6709
C2 C 0.8780 0.3291 0.7857
C3 C 0.6220 0.8291 0.2857
C4 C 0.3780 0.7143 0.8291
C5 C 0.3780 0.2857 0.1709
C6 C 0.1220 0.2143 0.3291
C7 C 0.8780 0.6709 0.2143
C8 C 0.6220 0.1709 0.7143
```